The following is a DFT calculation (PBE) of a relaxed Ho6TlHg8 crystal.

Cell: 8.010 8.010 8.010 Å, 66.29 66.29 66.29°
Fractional positions:
Ho (0.112, 0.814, 0.382)
Ho (0.186, 0.618, 0.888)
Ho (0.382, 0.112, 0.814)
Ho (0.618, 0.888, 0.186)
Ho (0.814, 0.382, 0.112)
Ho (0.888, 0.186, 0.618)
Tl (0.500, 0.500, 0.500)
Hg (0.051, 0.431, 0.685)
Hg (0.199, 0.199, 0.199)
Hg (0.315, 0.949, 0.569)
Hg (0.431, 0.685, 0.051)
Hg (0.569, 0.315, 0.949)
Hg (0.685, 0.051, 0.431)
Hg (0.801, 0.801, 0.801)
Hg (0.949, 0.569, 0.315)

Results
calculated total energy = -2.46 eV per atom
SG = No. 148
formation energy = -4.66 eV per formula unit